Entry from the Alexandria database: a relaxed CoReOsSeO crystal (PBE with a Hubbard U).

## Properties
- Crystal system: monoclinic
- Symmetry: Pm
- Excess energy over the best structure of this formula in the dataset: 171 meV per atom

```
CoReOsSeO
1.0
2.8057 0.0000 -0.0357
0.0000 3.7760 0.0000
-1.4114 0.0000 7.2328
Co Re Os Se O
1 1 1 1 1
Cartesian
0.1049 1.8880 4.6478
0.0813 0.0000 1.5330
1.5129 0.0000 3.6472
0.0767 0.0000 6.1971
0.0802 1.8880 1.3311
```